Version A
The following is a DFT calculation (PBEsol) of a relaxed structure of BeTc2Pb. Values from VASP.

Geometry as Quantum ESPRESSO input:
```
&SYSTEM
  ibrav = 0, nat = 4, ntyp = 3
/
ATOMIC_SPECIES
Pb 207.20 Pb.upf
Be 9.01 Be.upf
Tc 98.00 Tc.upf
CELL_PARAMETERS angstrom
3.302 0.000 0.000
0.000 4.257 0.000
0.000 0.000 4.257
ATOMIC_POSITIONS crystal
Pb 0.500 0.000 0.000
Be 0.500 0.500 0.500
Tc 0.000 0.000 0.500
Tc 0.000 0.500 0.000
```


Version B
The following is a DFT calculation (PBEsol) of a relaxed structure of BeTc2Pb. Values from VASP.

Geometry as Quantum ESPRESSO input:
```
&SYSTEM
  ibrav = 0, nat = 4, ntyp = 3
/
ATOMIC_SPECIES
Pb 207.20 Pb.upf
Be 9.01 Be.upf
Tc 98.00 Tc.upf
CELL_PARAMETERS angstrom
-0.798 2.003 2.292
-0.631 -3.335 2.695
4.252 0.229 1.280
ATOMIC_POSITIONS crystal
Pb 0.000 0.500 0.500
Be 0.500 0.500 0.000
Tc 0.000 0.000 0.000
Tc 0.500 0.000 0.500
```


Version C
The following is a DFT calculation (PBEsol) of a relaxed structure of BeTc2Pb. Values from VASP.

Geometry as Quantum ESPRESSO input:
```
&SYSTEM
  ibrav = 0, nat = 4, ntyp = 3
/
ATOMIC_SPECIES
Pb 207.20 Pb.upf
Be 9.01 Be.upf
Tc 98.00 Tc.upf
CELL_PARAMETERS angstrom
4.058 0.000 0.000
-2.029 4.150 0.018
0.000 -2.000 3.531
ATOMIC_POSITIONS crystal
Pb 0.250 0.500 0.750
Be 0.500 0.000 0.500
Tc 0.000 0.000 0.000
Tc 0.750 0.500 0.250
```


Version D
The following is a DFT calculation (PBEsol) of a relaxed structure of BeTc2Pb. Values from VASP.

Geometry as Quantum ESPRESSO input:
```
&SYSTEM
  ibrav = 0, nat = 4, ntyp = 3
/
ATOMIC_SPECIES
Pb 207.20 Pb.upf
Be 9.01 Be.upf
Tc 98.00 Tc.upf
CELL_PARAMETERS angstrom
-2.685 0.119 1.368
-1.369 -0.477 -2.645
0.247 -6.556 1.055
ATOMIC_POSITIONS crystal
Pb 0.500 0.500 0.500
Be 0.500 0.500 0.000
Tc 0.000 0.000 0.824
Tc 0.000 0.000 0.176
```


Which structure is most stable? version D, by 19.3 kJ/mol of atoms over the runner-up.


Version A
The following is a DFT calculation (PBEsol) of a relaxed structure of BeTe2Pb. Values from VASP.

Geometry as Quantum ESPRESSO input:
```
&SYSTEM
  ibrav = 0, nat = 4, ntyp = 3
/
ATOMIC_SPECIES
Pb 207.20 Pb.upf
Be 9.01 Be.upf
Te 127.60 Te.upf
CELL_PARAMETERS angstrom
4.041 0.000 0.000
2.020 3.499 0.000
2.020 1.166 7.150
ATOMIC_POSITIONS crystal
Pb 0.000 0.000 0.000
Be 0.500 0.500 0.500
Te 0.231 0.231 0.307
Te 0.769 0.769 0.693
```


Version B
The following is a DFT calculation (PBEsol) of a relaxed structure of BeTe2Pb. Values from VASP.

Geometry as Quantum ESPRESSO input:
```
&SYSTEM
  ibrav = 0, nat = 4, ntyp = 3
/
ATOMIC_SPECIES
Pb 207.20 Pb.upf
Be 9.01 Be.upf
Te 127.60 Te.upf
CELL_PARAMETERS angstrom
-2.577 2.193 1.417
-2.297 -0.448 -3.481
-2.171 -5.283 4.227
ATOMIC_POSITIONS crystal
Pb 0.500 0.500 0.000
Be 0.500 0.000 0.500
Te 0.000 0.889 0.716
Te 0.000 0.111 0.284
```


Which structure is most stable? version A, by 11.9 kJ/mol of atoms over the runner-up.